1.
Compound: NaIn4Au2
Source: Alexandria
Functional: PBE
Structure: optimized geometry

## Properties
D(E_F)   0.4803 states/eV/atom

abc: 18.564 4.591 7.843
angles: 90.00 90.00 90.00
Atoms (fractional coordinates):
Na  0.146  0.250  0.060
Na  0.354  0.750  0.560
Na  0.646  0.250  0.440
Na  0.854  0.750  0.940
In  0.034  0.750  0.876
In  0.068  0.250  0.487
In  0.185  0.750  0.756
In  0.190  0.750  0.348
In  0.310  0.250  0.848
In  0.315  0.250  0.256
In  0.432  0.750  0.987
In  0.466  0.250  0.376
In  0.534  0.750  0.624
In  0.568  0.250  0.013
In  0.685  0.750  0.744
In  0.690  0.750  0.152
In  0.810  0.250  0.652
In  0.815  0.250  0.244
In  0.932  0.750  0.513
In  0.966  0.250  0.124
Au  0.042  0.750  0.253
Au  0.221  0.250  0.553
Au  0.279  0.750  0.053
Au  0.458  0.250  0.753
Au  0.542  0.750  0.247
Au  0.721  0.250  0.947
Au  0.779  0.750  0.447
Au  0.958  0.250  0.747

***

2.
Compound: NaIn4Au2
Source: Alexandria
Functional: PBE
Structure: optimized geometry

## Properties
D(E_F)   0.2403 states/eV/atom

abc: 7.685 7.685 7.685
angles: 107.74 107.74 112.99
Atoms (fractional coordinates):
Na  0.000  0.000  0.000
Na  0.750  0.250  0.500
In  0.066  0.790  0.619
In  0.171  0.447  0.381
In  0.197  0.421  0.881
In  0.210  0.829  0.276
In  0.540  0.316  0.119
In  0.553  0.934  0.724
In  0.579  0.460  0.776
In  0.684  0.803  0.224
Au  0.119  0.125  0.494
Au  0.375  0.881  0.006
Au  0.631  0.625  0.506
Au  0.875  0.369  0.994

***

Here is how they stack up, most stable first: 1, 2.

***

1.
Compound: Na8InAu2
Source: Alexandria
Functional: PBE
Structure: optimized geometry

## Properties
D(E_F)   0.3530 states/eV/atom

abc: 8.094 8.094 5.562
angles: 98.36 98.36 112.17
Atoms (fractional coordinates):
Na  0.063  0.316  0.583
Na  0.242  0.758  0.000
Na  0.316  0.063  0.583
Na  0.374  0.374  0.187
Na  0.626  0.626  0.813
Na  0.684  0.937  0.417
Na  0.758  0.242  0.000
Na  0.937  0.684  0.417
In  0.000  0.000  0.000
Au  0.320  0.680  0.500
Au  0.680  0.320  0.500

***

2.
Compound: Na8InAu2
Source: Alexandria
Functional: PBE
Structure: optimized geometry

## Properties
D(E_F)   0.3143 states/eV/atom

abc: 5.341 7.038 9.288
angles: 112.12 105.78 90.39
Atoms (fractional coordinates):
Na  0.000  0.000  0.000
Na  0.022  0.500  0.049
Na  0.172  0.348  0.395
Na  0.371  0.846  0.740
Na  0.394  0.396  0.789
Na  0.587  0.908  0.184
Na  0.681  0.604  0.394
Na  0.797  0.117  0.606
In  0.188  0.888  0.394
Au  0.532  0.250  0.062
Au  0.867  0.582  0.725

***

Here is how they stack up, most stable first: 2, 1.